First-principles (GGA-PBE) data for NbVAu after structural relaxation, as listed in Alexandria via LeMat-Bulk.

The structure belongs to space group Cm (No. 8); the cell edges are 9.2033, 4.2173 and 5.6641 Å and the angles 90.00°, 116.56° and 90.00°. Symmetry generates all atoms from Nb at (0.0000, 0.0000, 0.0000), Nb at (0.1978, 0.5000, 0.3625), V at (0.1861, 0.5000, 0.8457), V at (0.3823, 0.0000, 0.6921), Au at (0.0410, 0.0000, 0.5280) and Au at (0.3472, 0.0000, 0.1764).

As for the size of the total moment: 0.00 μB per cell. The formation energy comes out at -0.109 eV per formula unit. For the density of states at the Fermi level, the calculation gives 11.4 states/eV/cell. The calculation puts the electronic total energy at -7.525 eV per atom.

---

First-principles (GGA-PBE) data for NbVAu after structural relaxation, as listed in Alexandria via LeMat-Bulk.

The structure belongs to space group C2/m (No. 12); the cell edges are 9.7329, 3.3193 and 6.4926 Å and the angles 90.00°, 107.46° and 90.00°. Symmetry generates all atoms from Nb at (0.0147, 0.0000, 0.2323), V at (0.1620, 0.5000, 0.0578) and Au at (0.1708, 0.5000, 0.6096).

As for the size of the total moment: 0.00 μB per cell. The formation energy comes out at -0.091 eV per formula unit. For the density of states at the Fermi level, the calculation gives 11.8 states/eV/cell. The calculation puts the electronic total energy at -7.519 eV per atom.